# 1
First-principles (GGA-PBE) data for crystalline Ag2BiAs2 at its relaxed geometry, as listed in the Alexandria database.

abc: 7.101 7.101 7.101
angles: 146.07 146.07 48.74
Positions (direct):
Ag  0.106  0.106  0.000
Ag  0.894  0.894  0.000
Bi  0.500  0.500  0.000
As  0.250  0.750  0.500
As  0.750  0.250  0.500

Values from the calculation:
Magnetization (μB/f.u.): 0.00
ΔH_f (0 K) (eV/atom): 0.238
D(E_F) (states/eV/atom): 0.59
Density (g/cm³): 8.59
DFT total energy (eV per cell): -17.69

# 2
First-principles (GGA-PBE) data for crystalline PuTl2Ag at its relaxed geometry, as listed in the Alexandria database.

abc: 3.453 3.453 8.267
angles: 90.00 90.00 90.00
Positions (direct):
Pu  0.000  0.000  0.000
Tl  0.500  0.500  0.276
Tl  0.500  0.500  0.724
Ag  0.000  0.000  0.500

Values from the calculation:
Magnetization (μB/f.u.): 6.01
ΔH_f (0 K) (eV/atom): 0.051
D(E_F) (states/eV/atom): 1.85
Density (g/cm³): 12.82
DFT total energy (eV per cell): -21.71

# 3
First-principles (GGA-PBE) data for crystalline NbPd3Rh at its relaxed geometry, as listed in the Alexandria database.

abc: 4.716 4.716 4.716
angles: 90.00 90.00 90.00
Positions (direct):
Nb  0.000  0.000  0.000
Pd  0.000  0.500  0.500
Pd  0.500  0.000  0.500
Pd  0.500  0.500  0.000
Rh  0.500  0.500  0.500

Values from the calculation:
Magnetization (μB/f.u.): 0.02
ΔH_f (0 K) (eV/atom): 1.395
D(E_F) (states/eV/atom): 3.29
Density (g/cm³): 8.15
DFT total energy (eV per cell): -26.03

# 4
First-principles (GGA-PBE) data for crystalline Ti6Re5Ni at its relaxed geometry, as listed in the Alexandria database.

abc: 6.942 6.942 6.220
angles: 90.00 90.00 143.08
Positions (direct):
Ti  0.000  0.000  0.248
Ti  0.000  0.000  0.752
Ti  0.333  0.667  0.251
Ti  0.333  0.667  0.749
Ti  0.667  0.333  0.251
Ti  0.667  0.333  0.749
Re  0.166  0.834  0.000
Re  0.166  0.834  0.500
Re  0.500  0.500  0.000
Re  0.834  0.166  0.000
Re  0.834  0.166  0.500
Ni  0.500  0.500  0.500

Values from the calculation:
Magnetization (μB/f.u.): 0.00
ΔH_f (0 K) (eV/atom): -0.404
D(E_F) (states/eV/atom): 0.87
Density (g/cm³): 11.78
DFT total energy (eV per cell): -120.23

# 5
First-principles (GGA-PBE) data for crystalline KLi2Si at its relaxed geometry, as listed in the Alexandria database.

abc: 5.672 5.672 5.672
angles: 133.32 133.32 68.15
Positions (direct):
K  0.000  0.000  0.000
Li  0.250  0.750  0.500
Li  0.500  0.500  0.000
Si  0.750  0.250  0.500

Values from the calculation:
Formation energy (no corrections) (meV per atom): 262
Magnetization (μB/f.u.): 0.00
D(E_F) (states/eV/atom): 0.46
Density (g/cm³): 1.42
DFT total energy (eV per cell): -9.30

# 6
First-principles (GGA-PBE) data for crystalline LaTm2Pd9 at its relaxed geometry, as listed in the Alexandria database.

abc: 4.155 4.155 12.332
angles: 90.00 90.00 90.00
Positions (direct):
La  0.000  0.000  0.000
Tm  0.000  0.000  0.339
Tm  0.000  0.000  0.661
Pd  0.000  0.500  0.175
Pd  0.000  0.500  0.500
Pd  0.000  0.500  0.825
Pd  0.500  0.000  0.175
Pd  0.500  0.000  0.500
Pd  0.500  0.000  0.825
Pd  0.500  0.500  0.000
Pd  0.500  0.500  0.336
Pd  0.500  0.500  0.664

Values from the calculation:
Magnetization (μB/f.u.): 0.00
ΔH_f (0 K) (eV/atom): -0.869
D(E_F) (states/eV/atom): 0.74
Density (g/cm³): 11.19
DFT total energy (eV per cell): -71.03

# 7
First-principles (GGA-PBE) data for crystalline Ta2OsCl at its relaxed geometry, as listed in the Alexandria database.

abc: 3.117 3.117 7.441
angles: 90.00 90.00 90.00
Positions (direct):
Ta  0.000  0.000  0.000
Ta  0.500  0.500  0.271
Os  0.500  0.500  0.817
Cl  0.000  0.000  0.484

Values from the calculation:
Formation energy (no corrections) (meV per atom): 168
Magnetization (μB/f.u.): 0.00
D(E_F) (states/eV/atom): 0.83
Density (g/cm³): 13.50
DFT total energy (eV per cell): -36.11

# 8
First-principles (GGA-PBE) data for crystalline La2Ta at its relaxed geometry, as listed in the Alexandria database.

abc: 3.356 3.356 8.440
angles: 90.00 90.00 120.00
Positions (direct):
La  0.333  0.667  0.191
La  0.667  0.333  0.809
Ta  0.000  0.000  0.500

Values from the calculation:
Magnetization (μB/f.u.): 0.00
ΔH_f (0 K) (eV/atom): 0.513
D(E_F) (states/eV/atom): 1.39
Density (g/cm³): 9.25
DFT total energy (eV per cell): -20.17

# 9
First-principles (GGA-PBE) data for crystalline Dy12Th3Sc at its relaxed geometry, as listed in the Alexandria database.

abc: 5.006 5.006 19.871
angles: 90.00 90.00 90.00
Positions (direct):
Dy  0.000  0.000  0.000
Dy  0.000  0.000  0.247
Dy  0.000  0.000  0.500
Dy  0.000  0.000  0.753
Dy  0.000  0.500  0.122
Dy  0.000  0.500  0.374
Dy  0.000  0.500  0.626
Dy  0.000  0.500  0.878
Dy  0.500  0.000  0.122
Dy  0.500  0.000  0.374
Dy  0.500  0.000  0.626
Dy  0.500  0.000  0.878
Th  0.500  0.500  0.249
Th  0.500  0.500  0.500
Th  0.500  0.500  0.751
Sc  0.500  0.500  0.000

Values from the calculation:
Magnetization (μB/f.u.): 0.00
ΔH_f (0 K) (eV/atom): 0.042
D(E_F) (states/eV/atom): 1.47
Density (g/cm³): 8.97
DFT total energy (eV per cell): -83.14

# 10
First-principles (GGA-PBE) data for crystalline NaFeP2Os at its relaxed geometry, as listed in the Alexandria database.

abc: 5.560 5.560 5.560
angles: 138.35 138.35 60.36
Positions (direct):
Na  0.000  0.000  0.000
Fe  0.750  0.250  0.500
P  0.369  0.369  0.000
P  0.631  0.631  0.000
Os  0.250  0.750  0.500

Values from the calculation:
Magnetization (μB/f.u.): 0.00
ΔH_f (0 K) (eV/atom): -0.404
D(E_F) (states/eV/atom): 0.68
Density (g/cm³): 7.32
DFT total energy (eV per cell): -33.85

# 11
First-principles (GGA-PBE) data for crystalline Sc2CdN at its relaxed geometry, as listed in the Alexandria database.

abc: 9.227 9.227 4.620
angles: 90.00 90.00 159.97
Positions (direct):
Sc  0.119  0.881  0.750
Sc  0.287  0.713  0.750
Sc  0.713  0.287  0.250
Sc  0.881  0.119  0.250
Cd  0.455  0.545  0.750
Cd  0.545  0.455  0.250
N  0.297  0.703  0.250
N  0.703  0.297  0.750

Values from the calculation:
Formation energy (no corrections) (meV per atom): -1089
Magnetization (μB/f.u.): 0.00
D(E_F) (states/eV/atom): 0.54
Density (g/cm³): 5.33
DFT total energy (eV per cell): -52.52

# 12
First-principles (GGA-PBE) data for crystalline SrAg3Os at its relaxed geometry, as listed in the Alexandria database.

abc: 5.338 5.338 5.338
angles: 90.00 90.00 90.00
Positions (direct):
Sr  0.000  0.000  0.000
Ag  0.000  0.000  0.500
Ag  0.000  0.500  0.000
Ag  0.500  0.000  0.000
Os  0.500  0.500  0.500

Values from the calculation:
Magnetization (μB/f.u.): 2.45
ΔH_f (0 K) (eV/atom): 2.145
D(E_F) (states/eV/atom): 1.60
Density (g/cm³): 6.57
DFT total energy (eV per cell): -10.74

# 13
First-principles (GGA-PBE) data for crystalline TiSbH at its relaxed geometry, as listed in the Alexandria database.

abc: 3.132 3.133 10.056
angles: 89.78 89.57 79.59
Positions (direct):
Ti  0.247  0.249  0.112
Ti  0.753  0.751  0.888
Sb  0.258  0.253  0.687
Sb  0.742  0.747  0.313
H  0.250  0.750  0.000
H  0.750  0.250  0.000

Values from the calculation:
Magnetization (μB/f.u.): 0.00
D(E_F) (states/eV/atom): 0.32
Density (g/cm³): 5.84
DFT total energy (eV per cell): -32.92

# 14
First-principles (GGA-PBE) data for crystalline ThAlAu3 at its relaxed geometry, as listed in the Alexandria database.

abc: 12.162 12.162 4.090
angles: 90.00 90.00 158.54
Positions (direct):
Th  0.170  0.830  0.000
Th  0.830  0.170  0.000
Al  0.386  0.614  0.500
Al  0.614  0.386  0.500
Au  0.060  0.940  0.500
Au  0.283  0.717  0.500
Au  0.443  0.557  0.000
Au  0.557  0.443  0.000
Au  0.717  0.283  0.500
Au  0.940  0.060  0.500

Values from the calculation:
Magnetization (μB/f.u.): 0.00
ΔH_f (0 K) (eV/atom): -0.477
D(E_F) (states/eV/atom): 0.61
Density (g/cm³): 12.75
DFT total energy (eV per cell): -46.76

# 15
First-principles (GGA-PBE) data for crystalline GaFeSiHN at its relaxed geometry, as listed in the Alexandria database.

abc: 2.715 4.131 4.784
angles: 106.12 105.67 90.31
Positions (direct):
Ga  0.000  0.000  0.000
Fe  0.223  0.850  0.509
Si  0.752  0.375  0.620
H  0.580  0.515  0.097
N  0.936  0.507  0.056

Values from the calculation:
Magnetization (μB/f.u.): 0.62
D(E_F) (states/eV/atom): 0.48
Density (g/cm³): 5.66
DFT total energy (eV per cell): -28.20

# 16
First-principles (GGA-PBE) data for crystalline CeAg2Au9 at its relaxed geometry, as listed in the Alexandria database.

abc: 9.798 9.798 9.798
angles: 32.85 32.85 32.85
Positions (direct):
Ce  0.000  0.000  0.000
Ag  0.150  0.150  0.150
Ag  0.850  0.850  0.850
Au  0.083  0.588  0.588
Au  0.333  0.333  0.333
Au  0.412  0.412  0.917
Au  0.412  0.917  0.412
Au  0.500  0.500  0.500
Au  0.588  0.083  0.588
Au  0.588  0.588  0.083
Au  0.667  0.667  0.667
Au  0.917  0.412  0.412

Values from the calculation:
Magnetization (μB/f.u.): 1.31
ΔH_f (0 K) (eV/atom): -0.159
D(E_F) (states/eV/atom): 0.91
Density (g/cm³): 14.36
DFT total energy (eV per cell): -43.04

# 17
First-principles (GGA-PBE) data for crystalline CsPb4Au4 at its relaxed geometry, as listed in the Alexandria database.

abc: 9.906 9.906 5.811
angles: 90.00 90.00 90.00
Positions (direct):
Cs  0.250  0.250  0.250
Cs  0.750  0.750  0.750
Pb  0.123  0.624  0.146
Pb  0.124  0.877  0.646
Pb  0.376  0.623  0.646
Pb  0.377  0.876  0.146
Pb  0.623  0.124  0.854
Pb  0.624  0.377  0.354
Pb  0.876  0.123  0.354
Pb  0.877  0.376  0.854
Au  0.069  0.914  0.154
Au  0.086  0.569  0.654
Au  0.414  0.931  0.654
Au  0.431  0.586  0.154
Au  0.569  0.414  0.846
Au  0.586  0.069  0.346
Au  0.914  0.431  0.346
Au  0.931  0.086  0.846

Values from the calculation:
Magnetization (μB/f.u.): 0.00
ΔH_f (0 K) (eV/atom): -0.156
D(E_F) (states/eV/atom): 0.35
Density (g/cm³): 10.19
DFT total energy (eV per cell): -60.40

# 18
First-principles (GGA-PBE) data for crystalline CoHIr2Rh at its relaxed geometry, as listed in the Alexandria database.

abc: 3.866 3.866 3.843
angles: 90.00 90.00 90.00
Positions (direct):
Co  0.000  0.000  0.000
H  0.000  0.000  0.500
Ir  0.000  0.500  0.500
Ir  0.500  0.000  0.500
Rh  0.500  0.500  0.000

Values from the calculation:
Magnetization (μB/f.u.): 2.68
D(E_F) (states/eV/atom): 1.14
Density (g/cm³): 15.82
DFT total energy (eV per cell): -34.85

# 19
First-principles (GGA-PBE) data for crystalline PmCdAu2 at its relaxed geometry, as listed in the Alexandria database.

abc: 7.122 7.122 7.122
angles: 34.63 34.63 34.63
Positions (direct):
Pm  0.000  0.000  0.000
Cd  0.172  0.172  0.172
Au  0.424  0.424  0.424
Au  0.579  0.579  0.579

Values from the calculation:
Magnetization (μB/f.u.): 0.00
ΔH_f (0 K) (eV/atom): -0.454
D(E_F) (states/eV/atom): 0.61
Density (g/cm³): 10.39
DFT total energy (eV per cell): -14.04

# 20
First-principles (GGA-PBE) data for crystalline CaCoHg at its relaxed geometry, as listed in the Alexandria database.

abc: 4.853 4.853 4.853
angles: 60.00 60.00 60.00
Positions (direct):
Ca  0.000  0.000  0.000
Co  0.250  0.250  0.250
Hg  0.750  0.750  0.750

Values from the calculation:
Magnetization (μB/f.u.): 1.49
ΔH_f (0 K) (eV/atom): 0.663
D(E_F) (states/eV/atom): 2.24
Density (g/cm³): 6.16
DFT total energy (eV per cell): -7.42

# 21
First-principles (GGA-PBE) data for crystalline Sm3Dy4Sn4 at its relaxed geometry, as listed in the Alexandria database.

abc: 9.976 9.976 9.976
angles: 155.59 124.40 61.60
Positions (direct):
Sm  0.000  0.000  0.000
Sm  0.394  0.894  0.500
Sm  0.606  0.106  0.500
Dy  0.023  0.329  0.694
Dy  0.364  0.671  0.694
Dy  0.636  0.329  0.306
Dy  0.977  0.671  0.306
Sn  0.252  0.252  0.000
Sn  0.286  0.500  0.786
Sn  0.714  0.500  0.214
Sn  0.748  0.748  0.000

Values from the calculation:
Magnetization (μB/f.u.): 2.82
ΔH_f (0 K) (eV/atom): -0.536
D(E_F) (states/eV/atom): 1.06
Density (g/cm³): 7.78
DFT total energy (eV per cell): -54.47

# 22
First-principles (GGA-PBE) data for crystalline Er2Sc3Fe2 at its relaxed geometry, as listed in the Alexandria database.

abc: 5.959 5.959 9.744
angles: 121.99 121.99 32.67
Positions (direct):
Er  0.086  0.086  0.381
Er  0.914  0.914  0.619
Sc  0.295  0.295  0.260
Sc  0.500  0.500  0.000
Sc  0.705  0.705  0.740
Fe  0.168  0.168  0.932
Fe  0.832  0.832  0.068

Values from the calculation:
Magnetization (μB/f.u.): 2.91
ΔH_f (0 K) (eV/atom): 0.042
D(E_F) (states/eV/atom): 1.25
Density (g/cm³): 6.19
DFT total energy (eV per cell): -44.75

# 23
First-principles (GGA-PBE) data for crystalline TaCuSe3 at its relaxed geometry, as listed in the Alexandria database.

abc: 8.160 8.160 7.318
angles: 95.51 95.51 27.52
Positions (direct):
Ta  0.200  0.200  0.244
Ta  0.800  0.800  0.756
Cu  0.474  0.474  0.160
Cu  0.526  0.526  0.840
Se  0.047  0.047  0.281
Se  0.201  0.201  0.620
Se  0.334  0.334  0.012
Se  0.666  0.666  0.988
Se  0.799  0.799  0.380
Se  0.953  0.953  0.719

Values from the calculation:
Formation energy (no corrections) (meV per atom): -409
Magnetization (μB/f.u.): 0.00
D(E_F) (states/eV/atom): 0.14
Density (g/cm³): 7.13
DFT total energy (eV per cell): -56.90

# 24
First-principles (GGA-PBE) data for crystalline Ho2Tm4Cd at its relaxed geometry, as listed in the Alexandria database.

abc: 8.302 8.302 8.352
angles: 116.61 116.61 24.01
Positions (direct):
Ho  0.219  0.219  0.142
Ho  0.781  0.781  0.858
Tm  0.080  0.080  0.702
Tm  0.369  0.369  0.605
Tm  0.631  0.631  0.395
Tm  0.920  0.920  0.298
Cd  0.000  0.000  0.000

Values from the calculation:
Magnetization (μB/f.u.): 0.00
ΔH_f (0 K) (eV/atom): 0.051
D(E_F) (states/eV/atom): 1.45
Density (g/cm³): 8.91
DFT total energy (eV per cell): -27.60

# 25
First-principles (GGA-PBE) data for crystalline VTc3Cl at its relaxed geometry, as listed in the Alexandria database.

abc: 4.318 4.318 4.318
angles: 90.00 90.00 90.00
Positions (direct):
V  0.000  0.000  0.000
Tc  0.000  0.500  0.500
Tc  0.500  0.000  0.500
Tc  0.500  0.500  0.000
Cl  0.500  0.500  0.500

Values from the calculation:
Formation energy (no corrections) (meV per atom): 1083
Magnetization (μB/f.u.): 1.26
D(E_F) (states/eV/atom): 0.97
Density (g/cm³): 7.84
DFT total energy (eV per cell): -36.65